Density functional theory data (meta-GGA SCAN) for a crystal of Sm2Co12P7 relaxed with PBEsol.

Computed properties:
DOS(E_F) (states/eV/cell): 7.0
Total energy (eV per atom): -18.30
Energy relative to the elements (eV/atom): -0.708

Lattice parameters (Å, degrees): 8.940 8.940 3.559 90.00 90.00 120.00
Sites, in units of the cell vectors:
Sm 0.000 0.000 0.000
Sm 0.333 0.667 0.500
Co 0.041 0.275 0.500
Co 0.100 0.715 0.000
Co 0.234 0.959 0.500
Co 0.285 0.385 0.000
Co 0.435 0.204 0.000
Co 0.515 0.453 0.500
Co 0.547 0.062 0.500
Co 0.615 0.900 0.000
Co 0.725 0.766 0.500
Co 0.770 0.565 0.000
Co 0.796 0.230 0.000
Co 0.938 0.485 0.500
P 0.066 0.441 0.000
P 0.264 0.224 0.500
P 0.375 0.934 0.000
P 0.559 0.625 0.000
P 0.667 0.333 0.500
P 0.776 0.040 0.500
P 0.960 0.736 0.500